Record 1
Here is a relaxed structure of AlGaN3 from Alexandria. Energies are from PBE.

Properties
V = 55.2 Å³/cell
Total magnetization = 0.7 Bohr magnetons per cell
Formation energy without anion corrections = 1.526 eV per atom

a b c (Å): 3.8072 3.8072 3.8072
angles (deg): 90.00 90.00 90.00
With the nearest neighbours (Å) after each atom.
Element x y z (fractional)
N 0.0000 0.5000 0.0000  2 Ga 1.90
Ga 0.0000 0.0000 0.0000  6 N 1.90
Al 0.5000 0.5000 0.5000  12 N 2.69
N 0.0000 0.0000 0.5000  2 Ga 1.90
N 0.5000 0.0000 0.0000  2 Ga 1.90

---

Record 2
Here is a relaxed structure of AlGaN2O from Alexandria. Energies are from PBE.

Properties
V = 53.6 Å³/cell
Total magnetization = 1.8 Bohr magnetons per cell
Formation energy without anion corrections = 0.194 eV per atom

a b c (Å): 3.8452 3.8452 3.6273
angles (deg): 90.00 90.00 90.00
With the nearest neighbours (Å) after each atom.
Element x y z (fractional)
N 0.0000 0.5000 0.0000  2 Al 1.92
Ga 0.5000 0.5000 0.5000  8 N 2.64, 4 O 2.72
N 0.5000 0.0000 0.0000  2 Al 1.92
Al 0.0000 0.0000 0.0000  2 O 1.81, 4 N 1.92
O 0.0000 0.0000 0.5000  2 Al 1.81

---

Record 3
Here is a relaxed structure of AlGaN2O from Alexandria. Energies are from PBE.

Properties
V = 56.4 Å³/cell
Total magnetization = 1.4 Bohr magnetons per cell
Formation energy without anion corrections = 0.722 eV per atom

a b c (Å): 3.8422 3.8422 3.8220
angles (deg): 90.00 90.00 90.00
With the nearest neighbours (Å) after each atom.
Element x y z (fractional)
N 0.5000 0.0000 0.0000  2 Ga 1.92
O 0.0000 0.0000 0.5000  2 Ga 1.91
N 0.0000 0.5000 0.0000  2 Ga 1.92
Ga 0.0000 0.0000 0.0000  2 O 1.91, 4 N 1.92
Al 0.5000 0.5000 0.5000  8 N 2.71, 4 O 2.72

---

Record 4
Here is a relaxed structure of Al2GaRhN from Alexandria. Energies are from PBE.

Properties
V = 89.0 Å³/cell
Total magnetization = 0.0 Bohr magnetons per cell
Formation energy without anion corrections = 0.991 eV per atom

a b c (Å): 5.1316 3.3806 5.1316
angles (deg): 90.00 90.00 90.00
With the nearest neighbours (Å) after each atom.
Element x y z (fractional)
Al 0.0000 0.0000 0.5000  2 Ga 2.57
Al 0.5000 0.0000 0.0000  2 Ga 2.57
Ga 0.0000 0.0000 0.0000  2 N 1.69
N 0.0000 0.5000 0.0000  2 Ga 1.69
Rh 0.5000 0.5000 0.5000  8 Al 3.07, 2 Rh 3.38